1.
Below is a relaxed structure of ZnBr, with properties calculated at the GGA-PBE level.

Results
- raw formation energy (eV/f.u.) = 0.5
- SG = Fd-3m (227)
- spin magnetization (μB per formula unit) = 0.00
- raw total energy (eV per atom) = -1.210

a = 7.269 Å, b = 7.269 Å, c = 7.269 Å
α = 90.00°, β = 90.00°, γ = 90.00°
Positions (direct):
Zn (0.125, 0.125, 0.125)
Zn (0.125, 0.625, 0.625)
Zn (0.375, 0.375, 0.875)
Zn (0.375, 0.875, 0.375)
Zn (0.625, 0.125, 0.625)
Zn (0.625, 0.625, 0.125)
Zn (0.875, 0.375, 0.375)
Zn (0.875, 0.875, 0.875)
Br (0.125, 0.125, 0.625)
Br (0.125, 0.625, 0.125)
Br (0.375, 0.375, 0.375)
Br (0.375, 0.875, 0.875)
Br (0.625, 0.125, 0.125)
Br (0.625, 0.625, 0.625)
Br (0.875, 0.375, 0.875)
Br (0.875, 0.875, 0.375)

=====

2.
Below is a relaxed structure of SmErThMg, with properties calculated at the GGA-PBE level.

Results
- energy of formation (eV per atom) = -0.04
- SG = P4mm (99)
- spin magnetization (μB per formula unit) = 0.00
- offset from the most stable computed form (meV per atom) = 0
- raw total energy (eV per atom) = -4.616

a = 3.594 Å, b = 3.594 Å, c = 9.250 Å
α = 90.00°, β = 90.00°, γ = 90.00°
Positions (direct):
Sm (0.000, 0.000, 0.000)
Er (0.000, 0.000, 0.481)
Th (0.500, 0.500, 0.736)
Mg (0.500, 0.500, 0.248)

=====

3.
Below is a relaxed structure of LaVN3, with properties calculated at the GGA-PBE level.

Results
- raw formation energy (eV/f.u.) = -4.9
- SG = C2/m (12)
- spin magnetization (μB per formula unit) = 0.00
- raw total energy (eV per atom) = -8.777

a = 5.949 Å, b = 5.949 Å, c = 6.413 Å
α = 108.85°, β = 108.85°, γ = 39.45°
Positions (direct):
La (0.100, 0.100, 0.323)
La (0.900, 0.900, 0.677)
V (0.334, 0.334, 0.124)
V (0.666, 0.666, 0.876)
N (0.158, 0.158, 0.946)
N (0.334, 0.334, 0.393)
N (0.485, 0.485, 0.890)
N (0.515, 0.515, 0.110)
N (0.666, 0.666, 0.607)
N (0.842, 0.842, 0.054)

=====

4.
Below is a relaxed structure of BiSbS2N, with properties calculated at the GGA-PBE level.

Results
- raw formation energy (eV/f.u.) = 5.0
- SG = P4/mmm (123)
- spin magnetization (μB per formula unit) = 0.00
- offset from the most stable computed form (meV per atom) = 415
- raw total energy (eV per atom) = -3.916

a = 5.274 Å, b = 5.274 Å, c = 4.160 Å
α = 90.00°, β = 90.00°, γ = 90.00°
Positions (direct):
Bi (0.000, 0.000, 0.000)
Sb (0.500, 0.500, 0.500)
S (0.000, 0.500, 0.000)
S (0.500, 0.000, 0.000)
N (0.000, 0.000, 0.500)

=====

- What is the spin magnetization in the fourth record?
  0.00 μB per formula unit

=====

- The highest raw total energy belongs to which entry?
  ZnBr

=====

- What is the formula in the fourth record?
  BiSbS2N

=====

- Which of these has the lowest raw total energy?
  LaVN3